*a*
# PBE NdGaAu4, relaxed
data_NdGaAu4
_chemical_formula_sum 'Nd2 Ga2 Au8'
_cell_length_a 7.402
_cell_length_b 7.402
_cell_length_c 7.345
_cell_angle_alpha 90.00
_cell_angle_beta 90.00
_cell_angle_gamma 140.11
_space_group_name_H-M_alt 'P 1'
_space_group_IT_number 1
_space_group_name_Hall 'P 1'
loop_
_atom_site_label
_atom_site_type_symbol
_atom_site_fract_x
_atom_site_fract_y
_atom_site_fract_z
Nd1 Nd 0.117 0.883 0.750
Nd2 Nd 0.883 0.117 0.250
Ga1 Ga 0.364 0.636 0.750
Ga2 Ga 0.636 0.364 0.250
Au1 Au 0.096 0.904 0.250
Au2 Au 0.287 0.713 0.064
Au3 Au 0.287 0.713 0.436
Au4 Au 0.500 0.500 0.000
Au5 Au 0.500 0.500 0.500
Au6 Au 0.713 0.287 0.564
Au7 Au 0.713 0.287 0.936
Au8 Au 0.904 0.096 0.750
# - Calculated volume: 258 Å³ per cell
# - Space-group type: No. 63



*b*
# PBE NdGaAu4, relaxed
data_NdGaAu4
_chemical_formula_sum 'Nd2 Ga2 Au8'
_cell_length_a 6.268
_cell_length_b 6.268
_cell_length_c 7.835
_cell_angle_alpha 109.56
_cell_angle_beta 109.56
_cell_angle_gamma 62.91
_space_group_name_H-M_alt 'P 1'
_space_group_IT_number 1
_space_group_name_Hall 'P 1'
loop_
_atom_site_label
_atom_site_type_symbol
_atom_site_fract_x
_atom_site_fract_y
_atom_site_fract_z
Nd1 Nd 0.210 0.210 0.315
Nd2 Nd 0.790 0.790 0.685
Ga1 Ga 0.463 0.463 0.714
Ga2 Ga 0.537 0.537 0.286
Au1 Au 0.115 0.675 0.069
Au2 Au 0.221 0.779 0.500
Au3 Au 0.239 0.239 0.738
Au4 Au 0.325 0.885 0.931
Au5 Au 0.675 0.115 0.069
Au6 Au 0.761 0.761 0.262
Au7 Au 0.779 0.221 0.500
Au8 Au 0.885 0.325 0.931
# - Calculated volume: 252 Å³ per cell
# - Space-group type: No. 12



Computed relative energies in units of meV per atom: *a* 44; *b* 0



*a*
# PBE Nd2Ga5Au3, relaxed
data_Nd2Ga5Au3
_chemical_formula_sum 'Nd2 Ga5 Au3'
_cell_length_a 4.318
_cell_length_b 4.318
_cell_length_c 11.281
_cell_angle_alpha 90.00
_cell_angle_beta 90.00
_cell_angle_gamma 90.00
_space_group_name_H-M_alt 'P 1'
_space_group_IT_number 1
_space_group_name_Hall 'P 1'
loop_
_atom_site_label
_atom_site_type_symbol
_atom_site_fract_x
_atom_site_fract_y
_atom_site_fract_z
Nd1 Nd 0.000 0.500 0.249
Nd2 Nd 0.500 0.000 0.751
Ga1 Ga 0.000 0.000 0.000
Ga2 Ga 0.000 0.000 0.500
Ga3 Ga 0.000 0.500 0.870
Ga4 Ga 0.500 0.000 0.130
Ga5 Ga 0.500 0.500 0.000
Au1 Au 0.000 0.500 0.651
Au2 Au 0.500 0.000 0.349
Au3 Au 0.500 0.500 0.500
# - Calculated volume: 210 Å³ per cell
# - Space-group type: No. 115



*b*
# PBE Nd2Ga5Au3, relaxed
data_Nd2Ga5Au3
_chemical_formula_sum 'Nd4 Ga10 Au6'
_cell_length_a 8.739
_cell_length_b 8.739
_cell_length_c 8.739
_cell_angle_alpha 103.99
_cell_angle_beta 90.59
_cell_angle_gamma 138.40
_space_group_name_H-M_alt 'P 1'
_space_group_IT_number 1
_space_group_name_Hall 'P 1'
loop_
_atom_site_label
_atom_site_type_symbol
_atom_site_fract_x
_atom_site_fract_y
_atom_site_fract_z
Nd1 Nd 0.127 0.239 0.366
Nd2 Nd 0.373 0.739 0.112
Nd3 Nd 0.627 0.261 0.888
Nd4 Nd 0.873 0.761 0.634
Ga1 Ga 0.017 0.750 0.267
Ga2 Ga 0.117 0.647 0.763
Ga3 Ga 0.250 0.250 0.000
Ga4 Ga 0.383 0.147 0.530
Ga5 Ga 0.483 0.750 0.733
Ga6 Ga 0.517 0.250 0.267
Ga7 Ga 0.617 0.853 0.470
Ga8 Ga 0.750 0.750 0.000
Ga9 Ga 0.883 0.353 0.237
Ga10 Ga 0.983 0.250 0.733
Au1 Au 0.134 0.879 0.012
Au2 Au 0.250 0.750 0.500
Au3 Au 0.366 0.379 0.745
Au4 Au 0.634 0.621 0.255
Au5 Au 0.750 0.250 0.500
Au6 Au 0.866 0.121 0.988
# - Calculated volume: 411 Å³ per cell
# - Space-group type: No. 72



Computed relative energies in units of meV per atom: *a* 124; *b* 0



*a*
# PBE Nd6Ga2Au, relaxed
data_Nd6Ga2Au
_chemical_formula_sum 'Nd12 Ga4 Au2'
_cell_length_a 6.454
_cell_length_b 8.438
_cell_length_c 11.481
_cell_angle_alpha 90.00
_cell_angle_beta 119.93
_cell_angle_gamma 90.00
_space_group_name_H-M_alt 'P 1'
_space_group_IT_number 1
_space_group_name_Hall 'P 1'
loop_
_atom_site_label
_atom_site_type_symbol
_atom_site_fract_x
_atom_site_fract_y
_atom_site_fract_z
Nd1 Nd 0.083 0.159 0.441
Nd2 Nd 0.083 0.341 0.941
Nd3 Nd 0.322 0.693 0.434
Nd4 Nd 0.322 0.807 0.934
Nd5 Nd 0.416 0.049 0.273
Nd6 Nd 0.416 0.451 0.773
Nd7 Nd 0.584 0.549 0.227
Nd8 Nd 0.584 0.951 0.727
Nd9 Nd 0.678 0.193 0.066
Nd10 Nd 0.678 0.307 0.566
Nd11 Nd 0.917 0.659 0.059
Nd12 Nd 0.917 0.841 0.559
Ga1 Ga 0.183 0.121 0.756
Ga2 Ga 0.183 0.379 0.256
Ga3 Ga 0.817 0.621 0.744
Ga4 Ga 0.817 0.879 0.244
Au1 Au 0.000 0.000 0.000
Au2 Au 0.000 0.500 0.500
# - Calculated volume: 542 Å³ per cell
# - Space-group type: No. 14



*b*
# PBE Nd6Ga2Au, relaxed
data_Nd6Ga2Au
_chemical_formula_sum 'Nd12 Ga4 Au2'
_cell_length_a 8.817
_cell_length_b 8.817
_cell_length_c 8.817
_cell_angle_alpha 111.40
_cell_angle_beta 110.24
_cell_angle_gamma 106.82
_space_group_name_H-M_alt 'P 1'
_space_group_IT_number 1
_space_group_name_Hall 'P 1'
loop_
_atom_site_label
_atom_site_type_symbol
_atom_site_fract_x
_atom_site_fract_y
_atom_site_fract_z
Nd1 Nd 0.036 0.828 0.208
Nd2 Nd 0.255 0.562 0.306
Nd3 Nd 0.255 0.949 0.694
Nd4 Nd 0.267 0.326 0.593
Nd5 Nd 0.267 0.674 0.941
Nd6 Nd 0.381 0.172 0.208
Nd7 Nd 0.619 0.828 0.792
Nd8 Nd 0.733 0.326 0.059
Nd9 Nd 0.733 0.674 0.407
Nd10 Nd 0.745 0.051 0.306
Nd11 Nd 0.745 0.438 0.694
Nd12 Nd 0.964 0.172 0.792
Ga1 Ga 0.000 0.141 0.141
Ga2 Ga 0.000 0.859 0.859
Ga3 Ga 0.378 0.378 0.000
Ga4 Ga 0.622 0.622 0.000
Au1 Au 0.000 0.500 0.500
Au2 Au 0.500 0.000 0.500
# - Calculated volume: 527 Å³ per cell
# - Space-group type: No. 71



Computed relative energies in units of meV per atom: *a* 69; *b* 0



*a*
# PBE NdGa2Au6, relaxed
data_NdGa2Au6
_chemical_formula_sum 'Nd1 Ga2 Au6'
_cell_length_a 6.059
_cell_length_b 6.059
_cell_length_c 5.494
_cell_angle_alpha 94.55
_cell_angle_beta 94.55
_cell_angle_gamma 66.05
_space_group_name_H-M_alt 'P 1'
_space_group_IT_number 1
_space_group_name_Hall 'P 1'
loop_
_atom_site_label
_atom_site_type_symbol
_atom_site_fract_x
_atom_site_fract_y
_atom_site_fract_z
Nd1 Nd 0.000 0.000 0.000
Ga1 Ga 0.403 0.403 0.136
Ga2 Ga 0.597 0.597 0.864
Au1 Au 0.044 0.489 0.750
Au2 Au 0.235 0.765 0.500
Au3 Au 0.489 0.044 0.750
Au4 Au 0.511 0.956 0.250
Au5 Au 0.765 0.235 0.500
Au6 Au 0.956 0.511 0.250
# - Calculated volume: 184 Å³ per cell
# - Space-group type: No. 12



*b*
# PBE NdGa2Au6, relaxed
data_NdGa2Au6
_chemical_formula_sum 'Nd1 Ga2 Au6'
_cell_length_a 5.681
_cell_length_b 5.681
_cell_length_c 7.244
_cell_angle_alpha 90.00
_cell_angle_beta 90.00
_cell_angle_gamma 120.00
_space_group_name_H-M_alt 'P 1'
_space_group_IT_number 1
_space_group_name_Hall 'P 1'
loop_
_atom_site_label
_atom_site_type_symbol
_atom_site_fract_x
_atom_site_fract_y
_atom_site_fract_z
Nd1 Nd 0.000 0.000 0.000
Ga1 Ga 0.333 0.667 0.500
Ga2 Ga 0.667 0.333 0.500
Au1 Au 0.000 0.500 0.204
Au2 Au 0.000 0.500 0.796
Au3 Au 0.500 0.000 0.204
Au4 Au 0.500 0.000 0.796
Au5 Au 0.500 0.500 0.204
Au6 Au 0.500 0.500 0.796
# - Calculated volume: 202 Å³ per cell
# - Space-group type: No. 191



Computed relative energies in units of meV per atom: *a* 0; *b* 53



*a*
# PBE Nd8GaAu2, relaxed
data_Nd8GaAu2
_chemical_formula_sum 'Nd8 Ga1 Au2'
_cell_length_a 8.292
_cell_length_b 8.292
_cell_length_c 5.747
_cell_angle_alpha 98.68
_cell_angle_beta 98.68
_cell_angle_gamma 115.75
_space_group_name_H-M_alt 'P 1'
_space_group_IT_number 1
_space_group_name_Hall 'P 1'
loop_
_atom_site_label
_atom_site_type_symbol
_atom_site_fract_x
_atom_site_fract_y
_atom_site_fract_z
Nd1 Nd 0.000 0.000 0.000
Nd2 Nd 0.039 0.283 0.567
Nd3 Nd 0.135 0.594 0.181
Nd4 Nd 0.283 0.039 0.567
Nd5 Nd 0.448 0.681 0.782
Nd6 Nd 0.594 0.135 0.181
Nd7 Nd 0.681 0.448 0.782
Nd8 Nd 0.752 0.752 0.379
Ga1 Ga 0.376 0.376 0.272
Au1 Au 0.055 0.673 0.683
Au2 Au 0.673 0.055 0.683
# - Calculated volume: 341 Å³ per cell
# - Space-group type: No. 8



*b*
# PBE Nd8GaAu2, relaxed
data_Nd8GaAu2
_chemical_formula_sum 'Nd8 Ga1 Au2'
_cell_length_a 9.747
_cell_length_b 9.747
_cell_length_c 7.112
_cell_angle_alpha 108.04
_cell_angle_beta 108.04
_cell_angle_gamma 31.26
_space_group_name_H-M_alt 'P 1'
_space_group_IT_number 1
_space_group_name_Hall 'P 1'
loop_
_atom_site_label
_atom_site_type_symbol
_atom_site_fract_x
_atom_site_fract_y
_atom_site_fract_z
Nd1 Nd 0.022 0.022 0.278
Nd2 Nd 0.198 0.198 0.836
Nd3 Nd 0.331 0.331 0.509
Nd4 Nd 0.409 0.409 0.033
Nd5 Nd 0.591 0.591 0.967
Nd6 Nd 0.669 0.669 0.491
Nd7 Nd 0.802 0.802 0.164
Nd8 Nd 0.978 0.978 0.722
Ga1 Ga 0.500 0.500 0.500
Au1 Au 0.175 0.175 0.233
Au2 Au 0.825 0.825 0.767
# - Calculated volume: 332 Å³ per cell
# - Space-group type: No. 12



Computed relative energies in units of meV per atom: *a* 108; *b* 0



*a*
# PBE Nd2Ga3Au5, relaxed
data_Nd2Ga3Au5
_chemical_formula_sum 'Nd4 Ga6 Au10'
_cell_length_a 12.593
_cell_length_b 12.593
_cell_length_c 7.250
_cell_angle_alpha 90.00
_cell_angle_beta 90.00
_cell_angle_gamma 158.93
_space_group_name_H-M_alt 'P 1'
_space_group_IT_number 1
_space_group_name_Hall 'P 1'
loop_
_atom_site_label
_atom_site_type_symbol
_atom_site_fract_x
_atom_site_fract_y
_atom_site_fract_z
Nd1 Nd 0.020 0.980 0.500
Nd2 Nd 0.325 0.675 0.499
Nd3 Nd 0.675 0.325 0.999
Nd4 Nd 0.980 0.020 0.000
Ga1 Ga 0.103 0.897 0.177
Ga2 Ga 0.272 0.728 0.023
Ga3 Ga 0.449 0.551 0.310
Ga4 Ga 0.551 0.449 0.810
Ga5 Ga 0.728 0.272 0.523
Ga6 Ga 0.897 0.103 0.677
Au1 Au 0.104 0.896 0.808
Au2 Au 0.199 0.801 0.317
Au3 Au 0.214 0.786 0.720
Au4 Au 0.380 0.620 0.023
Au5 Au 0.448 0.552 0.697
Au6 Au 0.552 0.448 0.197
Au7 Au 0.620 0.380 0.523
Au8 Au 0.786 0.214 0.220
Au9 Au 0.801 0.199 0.817
Au10 Au 0.896 0.104 0.308
# - Calculated volume: 413 Å³ per cell
# - Space-group type: No. 36



*b*
# PBE Nd2Ga3Au5, relaxed
data_Nd2Ga3Au5
_chemical_formula_sum 'Nd4 Ga6 Au10'
_cell_length_a 8.843
_cell_length_b 8.843
_cell_length_c 8.843
_cell_angle_alpha 103.52
_cell_angle_beta 90.82
_cell_angle_gamma 138.76
_space_group_name_H-M_alt 'P 1'
_space_group_IT_number 1
_space_group_name_Hall 'P 1'
loop_
_atom_site_label
_atom_site_type_symbol
_atom_site_fract_x
_atom_site_fract_y
_atom_site_fract_z
Nd1 Nd 0.134 0.229 0.363
Nd2 Nd 0.366 0.729 0.095
Nd3 Nd 0.634 0.271 0.905
Nd4 Nd 0.866 0.771 0.637
Ga1 Ga 0.135 0.883 0.018
Ga2 Ga 0.250 0.750 0.500
Ga3 Ga 0.365 0.383 0.748
Ga4 Ga 0.635 0.617 0.252
Ga5 Ga 0.750 0.250 0.500
Ga6 Ga 0.865 0.117 0.982
Au1 Au 0.017 0.750 0.267
Au2 Au 0.100 0.658 0.758
Au3 Au 0.250 0.250 0.000
Au4 Au 0.400 0.158 0.558
Au5 Au 0.483 0.750 0.733
Au6 Au 0.517 0.250 0.267
Au7 Au 0.600 0.842 0.442
Au8 Au 0.750 0.750 0.000
Au9 Au 0.900 0.342 0.242
Au10 Au 0.983 0.250 0.733
# - Calculated volume: 423 Å³ per cell
# - Space-group type: No. 72



Computed relative energies in units of meV per atom: *a* 12; *b* 0



*a*
# PBE Nd2GaAu3, relaxed
data_Nd2GaAu3
_chemical_formula_sum 'Nd2 Ga1 Au3'
_cell_length_a 3.655
_cell_length_b 4.655
_cell_length_c 8.175
_cell_angle_alpha 90.00
_cell_angle_beta 90.00
_cell_angle_gamma 90.00
_space_group_name_H-M_alt 'P 1'
_space_group_IT_number 1
_space_group_name_Hall 'P 1'
loop_
_atom_site_label
_atom_site_type_symbol
_atom_site_fract_x
_atom_site_fract_y
_atom_site_fract_z
Nd1 Nd 0.000 0.000 0.000
Nd2 Nd 0.000 0.500 0.484
Ga1 Ga 0.500 0.500 0.818
Au1 Au 0.500 0.000 0.332
Au2 Au 0.500 0.000 0.675
Au3 Au 0.500 0.500 0.140
# - Calculated volume: 139 Å³ per cell
# - Space-group type: No. 25



*b*
# PBE Nd2GaAu3, relaxed
data_Nd2GaAu3
_chemical_formula_sum 'Nd4 Ga2 Au6'
_cell_length_a 4.018
_cell_length_b 4.228
_cell_length_c 17.184
_cell_angle_alpha 90.00
_cell_angle_beta 90.00
_cell_angle_gamma 90.00
_space_group_name_H-M_alt 'P 1'
_space_group_IT_number 1
_space_group_name_Hall 'P 1'
loop_
_atom_site_label
_atom_site_type_symbol
_atom_site_fract_x
_atom_site_fract_y
_atom_site_fract_z
Nd1 Nd 0.000 0.000 0.000
Nd2 Nd 0.000 0.500 0.249
Nd3 Nd 0.500 0.000 0.749
Nd4 Nd 0.500 0.500 0.500
Ga1 Ga 0.000 0.000 0.585
Ga2 Ga 0.500 0.500 0.085
Au1 Au 0.000 0.000 0.433
Au2 Au 0.000 0.500 0.664
Au3 Au 0.000 0.500 0.825
Au4 Au 0.500 0.000 0.164
Au5 Au 0.500 0.000 0.325
Au6 Au 0.500 0.500 0.933
# - Calculated volume: 292 Å³ per cell
# - Space-group type: No. 44



Computed relative energies in units of meV per atom: *a* 0; *b* 82



*a*
# PBE TbNdGaAu, relaxed
data_TbNdGaAu
_chemical_formula_sum 'Tb2 Nd2 Ga2 Au2'
_cell_length_a 4.563
_cell_length_b 3.892
_cell_length_c 11.415
_cell_angle_alpha 90.00
_cell_angle_beta 90.00
_cell_angle_gamma 90.00
_space_group_name_H-M_alt 'P 1'
_space_group_IT_number 1
_space_group_name_Hall 'P 1'
loop_
_atom_site_label
_atom_site_type_symbol
_atom_site_fract_x
_atom_site_fract_y
_atom_site_fract_z
Tb1 Tb 0.000 0.000 0.000
Tb2 Tb 0.000 0.500 0.500
Nd1 Nd 0.500 0.000 0.716
Nd2 Nd 0.500 0.500 0.216
Ga1 Ga 0.000 0.000 0.283
Ga2 Ga 0.000 0.500 0.783
Au1 Au 0.500 0.000 0.442
Au2 Au 0.500 0.500 0.942
# - Calculated volume: 203 Å³ per cell
# - Space-group type: No. 38



*b*
# PBE TbNdGaAu, relaxed
data_TbNdGaAu
_chemical_formula_sum 'Tb4 Nd4 Ga4 Au4'
_cell_length_a 7.355
_cell_length_b 7.355
_cell_length_c 7.355
_cell_angle_alpha 90.00
_cell_angle_beta 90.00
_cell_angle_gamma 90.00
_space_group_name_H-M_alt 'P 1'
_space_group_IT_number 1
_space_group_name_Hall 'P 1'
loop_
_atom_site_label
_atom_site_type_symbol
_atom_site_fract_x
_atom_site_fract_y
_atom_site_fract_z
Tb1 Tb 0.000 0.000 0.000
Tb2 Tb 0.000 0.500 0.500
Tb3 Tb 0.500 0.000 0.500
Tb4 Tb 0.500 0.500 0.000
Nd1 Nd 0.000 0.000 0.500
Nd2 Nd 0.000 0.500 0.000
Nd3 Nd 0.500 0.000 0.000
Nd4 Nd 0.500 0.500 0.500
Ga1 Ga 0.250 0.250 0.750
Ga2 Ga 0.250 0.750 0.250
Ga3 Ga 0.750 0.250 0.250
Ga4 Ga 0.750 0.750 0.750
Au1 Au 0.250 0.250 0.250
Au2 Au 0.250 0.750 0.750
Au3 Au 0.750 0.250 0.750
Au4 Au 0.750 0.750 0.250
# - Calculated volume: 398 Å³ per cell
# - Space-group type: No. 216



Computed relative energies in units of meV per atom: *a* 0; *b* 39